The following is a GGA-PBE calculation of a geometry-optimized LiSb2TeF structure, from Alexandria.

## Properties
The value obtained for the final energy is -3.33 eV per atom. The formation energy (no corrections) comes out at -296 meV/atom.

a = 4.750 Å, b = 4.750 Å, c = 5.590 Å
α = 90.00°, β = 90.00°, γ = 90.00°
Sites, in units of the cell vectors:
Li 0.000 0.000 0.000
Sb 0.000 0.500 0.500
Sb 0.500 0.000 0.500
Te 0.500 0.500 0.000
F 0.500 0.500 0.500